Below is TaRhCl2 after structural relaxation, with properties calculated at the PBE-GGA level. Values from VASP.

Energy above the most stable polymorph in this dataset: 0.000 eV/atom
DOS(E_F): 1.1 states/eV per cell
Symmetry: Pm
Uncorrected energy: -6.383 eV/atom

Structure (Quantum ESPRESSO input):
```
&SYSTEM
  ibrav = 0, nat = 4, ntyp = 3
/
ATOMIC_SPECIES
Cl 35.45 Cl.upf
Rh 102.91 Rh.upf
Ta 180.95 Ta.upf
ATOMIC_POSITIONS angstrom
Cl -1.5716 -2.4363 -1.7178
Rh 0.1707 -4.5221 -2.2553
Cl 0.1153 -7.7821 -3.6206
Ta -0.5714 -5.5620 -4.5640
CELL_PARAMETERS angstrom
-2.5711 0.7817 -1.7621
1.7976 -0.6869 -2.9277
-1.5120 -7.7468 -1.2306
```


Below is CsTa2Nb after structural relaxation, with properties calculated at the PBE-GGA level. Values from VASP.

Formation energy from the elements: 1.71 eV per atom
Energy above the most stable polymorph in this dataset: 0.000 eV/atom
DOS(E_F): 5.3 states/eV per cell
Symmetry: Fm-3m
Uncorrected energy: -6.946 eV/atom

Structure (Quantum ESPRESSO input):
```
&SYSTEM
  ibrav = 0, nat = 4, ntyp = 3
/
ATOMIC_SPECIES
Nb 92.91 Nb.upf
Cs 132.91 Cs.upf
Ta 180.95 Ta.upf
ATOMIC_POSITIONS angstrom
Nb 0.0000 0.0000 0.0000
Cs -1.7104 -4.9604 3.0006
Ta -2.5655 -7.4406 4.5009
Ta -0.8552 -2.4802 1.5003
CELL_PARAMETERS angstrom
1.3852 -4.5080 1.4543
-1.4985 -1.7544 4.3627
-3.3075 -3.6583 0.1842
```


Below is MgCrSN2 after structural relaxation, with properties calculated at the PBE-GGA level. Values from VASP.

Energy above the most stable polymorph in this dataset: 0.000 eV/atom
DOS(E_F): 2.4 states/eV per cell
Symmetry: P4/mmm
Uncorrected energy: -6.465 eV/atom

Structure (Quantum ESPRESSO input):
```
&SYSTEM
  ibrav = 0, nat = 5, ntyp = 4
/
ATOMIC_SPECIES
Cr 52.00 Cr.upf
Mg 24.30 Mg.upf
S 32.06 S.upf
N 14.01 N.upf
ATOMIC_POSITIONS angstrom
Cr 0.0000 0.0000 0.0000
Mg 0.9570 -2.8225 2.0405
S 0.1680 -0.4117 2.4920
N 1.6179 -0.8021 -0.2416
N -0.8289 -1.6087 -0.2099
CELL_PARAMETERS angstrom
-1.6577 -3.2175 -0.4198
3.2357 -1.6041 -0.4831
0.3360 -0.8233 4.9840
```


Below is La4Dy4Er3 after structural relaxation, with properties calculated at the PBE-GGA level. Values from VASP.

Formation energy from the elements: 0.12 eV per atom
Energy above the most stable polymorph in this dataset: 0.053 eV/atom
DOS(E_F): 17.8 states/eV per cell
Symmetry: Immm
Uncorrected energy: -4.590 eV/atom

Structure (Quantum ESPRESSO input):
```
&SYSTEM
  ibrav = 0, nat = 11, ntyp = 3
/
ATOMIC_SPECIES
La 138.91 La.upf
Dy 162.50 Dy.upf
Er 167.26 Er.upf
ATOMIC_POSITIONS angstrom
La 1.3686 2.4686 7.4298
Dy 0.4883 7.0151 2.6509
Dy 2.5877 2.5494 4.0523
Dy 1.6227 1.5249 -1.1864
Dy 1.0842 6.7187 -4.1101
La 1.7074 7.0958 -0.7266
La 1.9973 4.3005 0.8470
La 1.0787 5.2640 5.8563
Er 2.7181 8.4335 4.7601
Er -0.4274 4.1218 -2.3202
Er 0.3579 1.1309 1.9431
CELL_PARAMETERS angstrom
3.5617 0.0000 -0.6560
-0.8548 8.2436 -4.6404
0.3691 1.3208 11.9997
```


Copy entry 2 word for word.
Below is CsTa2Nb after structural relaxation, with properties calculated at the PBE-GGA level. Values from VASP.

Formation energy from the elements: 1.71 eV per atom
Energy above the most stable polymorph in this dataset: 0.000 eV/atom
DOS(E_F): 5.3 states/eV per cell
Symmetry: Fm-3m
Uncorrected energy: -6.946 eV/atom

Structure (Quantum ESPRESSO input):
```
&SYSTEM
  ibrav = 0, nat = 4, ntyp = 3
/
ATOMIC_SPECIES
Nb 92.91 Nb.upf
Cs 132.91 Cs.upf
Ta 180.95 Ta.upf
ATOMIC_POSITIONS angstrom
Nb 0.0000 0.0000 0.0000
Cs -1.7104 -4.9604 3.0006
Ta -2.5655 -7.4406 4.5009
Ta -0.8552 -2.4802 1.5003
CELL_PARAMETERS angstrom
1.3852 -4.5080 1.4543
-1.4985 -1.7544 4.3627
-3.3075 -3.6583 0.1842
```